Record 1
This record from the Alexandria database describes a relaxed SrY6S8 crystal. The functional is PBE.

a = 7.6730 Å, b = 7.6730 Å, c = 7.6730 Å
α = 94.76°, β = 94.76°, γ = 94.76°
Last column: nearest neighbours and their distance in Å.
Sites, in units of the cell vectors:
Sr 0.0000 0.0000 0.0000  2 S 2.86
Y 0.1896 0.5606 0.3865  5 S 2.66-2.84
Y 0.3865 0.1896 0.5606  5 S 2.66-2.84
Y 0.4394 0.6135 0.8104  5 S 2.66-2.84
Y 0.5606 0.3865 0.1896  5 S 2.66-2.84
Y 0.6135 0.8104 0.4394  5 S 2.66-2.84
Y 0.8104 0.4394 0.6135  5 S 2.66-2.84
S 0.1451 0.3878 0.6958  4 Y 2.66-2.84
S 0.2358 0.2358 0.2358  3 Y 2.72, 1 Sr 2.86
S 0.3042 0.8549 0.6122  4 Y 2.66-2.84
S 0.3878 0.6958 0.1451  4 Y 2.66-2.84
S 0.6122 0.3042 0.8549  4 Y 2.66-2.84
S 0.6958 0.1451 0.3878  4 Y 2.66-2.84
S 0.7642 0.7642 0.7642  3 Y 2.72, 1 Sr 2.86
S 0.8549 0.6122 0.3042  4 Y 2.66-2.84

Summary:
As for the symmetry: R-3 (148). The total magnetic moment comes out at 1.78 Bohr magnetons per cell. The calculation puts the density of states at the Fermi level at 6.39 states/eV per cell. For the calculated total energy, the calculation gives -6.691 eV per atom.

---

Record 2
This record from the Alexandria database describes a relaxed SrY2S crystal. The functional is PBE.

a = 3.8498 Å, b = 3.8498 Å, c = 30.3590 Å
α = 90.00°, β = 90.00°, γ = 120.00°
Last column: nearest neighbours and their distance in Å.
Sites, in units of the cell vectors:
Sr 0.0000 0.0000 0.0000  2 Y 3.53, 6 Sr 3.85
Sr 0.3333 0.6667 0.6667  2 Y 3.53, 6 Sr 3.85
Sr 0.6667 0.3333 0.3333  2 Y 3.53, 6 Sr 3.85
Y 0.0000 0.0000 0.1161  3 S 2.70
Y 0.0000 0.0000 0.8839  3 S 2.70
Y 0.3333 0.6667 0.5505  3 S 2.70
Y 0.3333 0.6667 0.7828  3 S 2.70
Y 0.6667 0.3333 0.2172  3 S 2.70
Y 0.6667 0.3333 0.4495  3 S 2.70
S 0.0000 0.0000 0.5000  6 Y 2.70
S 0.3333 0.6667 0.1667  6 Y 2.70
S 0.6667 0.3333 0.8333  6 Y 2.70

Summary:
As for the symmetry: R-3m (166). The total magnetic moment comes out at 0.00 Bohr magnetons per cell. The calculation puts the density of states at the Fermi level at 8.50 states/eV per cell. For the calculated total energy, the calculation gives -5.483 eV per atom.

---

Record 3
This record from the Alexandria database describes a relaxed Sr4YS5 crystal. The functional is PBE.

a = 7.2656 Å, b = 7.2656 Å, c = 7.2656 Å
α = 99.61°, β = 99.61°, γ = 131.77°
Last column: nearest neighbours and their distance in Å.
Sites, in units of the cell vectors:
Sr 0.0971 0.2998 0.3969  6 S 2.96-3.09
Sr 0.2998 0.9029 0.2027  6 S 2.96-3.09
Sr 0.7002 0.0971 0.7973  6 S 2.96-3.09
Sr 0.9029 0.7002 0.6031  6 S 2.96-3.09
Y 0.5000 0.5000 0.0000  6 S 2.82-2.97
S 0.0000 0.0000 0.0000  4 Sr 2.96, 2 Y 2.97
S 0.2147 0.5949 0.8096  1 Y 2.82, 5 Sr 2.97-3.09
S 0.4051 0.2147 0.6198  1 Y 2.82, 5 Sr 2.97-3.09
S 0.5949 0.7853 0.3802  1 Y 2.82, 5 Sr 2.97-3.09
S 0.7853 0.4051 0.1904  1 Y 2.82, 5 Sr 2.97-3.09

Summary:
As for the symmetry: I4/m (87). The total magnetic moment comes out at 0.00 Bohr magnetons per cell. The calculation puts the density of states at the Fermi level at 2.63 states/eV per cell. For the calculated total energy, the calculation gives -5.465 eV per atom.

---

Record 4
This record from the Alexandria database describes a relaxed SrY2S4 crystal. The functional is PBE.

a = 7.4095 Å, b = 7.4095 Å, c = 7.4095 Å
α = 109.49°, β = 109.49°, γ = 109.44°
Last column: nearest neighbours and their distance in Å.
Sites, in units of the cell vectors:
Sr 0.0000 0.0000 0.0000  8 S 2.91-3.15
Sr 0.7500 0.2500 0.5000  8 S 2.91-3.15
Y 0.2612 0.6250 0.1362  6 S 2.75-2.94
Y 0.3750 0.5112 0.6362  6 S 2.75-2.94
Y 0.4888 0.1250 0.8638  6 S 2.75-2.94
Y 0.8750 0.7388 0.3638  6 S 2.75-2.94
S 0.1374 0.7399 0.7450  3 Y 2.75-2.94, 1 Sr 2.91
S 0.1424 0.2450 0.7550  3 Y 2.75-2.94, 1 Sr 2.91
S 0.2601 0.0050 0.3975  3 Y 2.75-2.94, 1 Sr 2.91
S 0.4899 0.3874 0.2450  3 Y 2.75-2.94, 1 Sr 2.91
S 0.6076 0.8626 0.6025  3 Y 2.75-2.94, 1 Sr 2.91
S 0.6126 0.8576 0.1025  3 Y 2.75-2.94, 1 Sr 2.91
S 0.7550 0.5101 0.8975  3 Y 2.75-2.94, 1 Sr 2.91
S 0.9950 0.3924 0.2550  3 Y 2.75-2.94, 1 Sr 2.91

Summary:
As for the symmetry: I-42d (122). The total magnetic moment comes out at 0.00 Bohr magnetons per cell. The calculation puts the density of states at the Fermi level at 0.00 states/eV per cell. For the calculated total energy, the calculation gives -6.509 eV per atom. Its offset from the most stable computed form is 72 meV/atom.

---

Record 5
This record from the Alexandria database describes a relaxed SrY4S6 crystal. The functional is PBE.

a = 6.7921 Å, b = 6.7921 Å, c = 20.2383 Å
α = 90.00°, β = 90.00°, γ = 146.23°
Last column: nearest neighbours and their distance in Å.
Sites, in units of the cell vectors:
Sr 0.1575 0.8425 0.7500  6 S 2.92-3.07
Sr 0.8425 0.1575 0.2500  6 S 2.92-3.07
Y 0.0947 0.9053 0.1289  6 S 2.67-2.89
Y 0.0947 0.9053 0.3711  6 S 2.67-2.89
Y 0.3627 0.6373 0.0406  6 S 2.72-2.82
Y 0.3627 0.6373 0.4594  6 S 2.72-2.82
Y 0.6373 0.3627 0.5406  6 S 2.72-2.82
Y 0.6373 0.3627 0.9594  6 S 2.72-2.82
Y 0.9053 0.0947 0.6289  6 S 2.67-2.89
Y 0.9053 0.0947 0.8711  6 S 2.67-2.89
S 0.0000 0.0000 0.0000  6 Y 2.78-2.89
S 0.0000 0.0000 0.5000  6 Y 2.78-2.89
S 0.1765 0.8235 0.2500  2 Y 2.67, 2 Sr 2.92
S 0.2701 0.7299 0.5854  5 Y 2.77-2.82
S 0.2701 0.7299 0.9146  5 Y 2.77-2.82
S 0.4575 0.5425 0.1605  3 Y 2.72-2.73
S 0.4575 0.5425 0.3395  3 Y 2.72-2.73
S 0.5425 0.4575 0.6605  3 Y 2.72-2.73
S 0.5425 0.4575 0.8395  3 Y 2.72-2.73
S 0.7299 0.2701 0.0854  5 Y 2.77-2.82
S 0.7299 0.2701 0.4146  5 Y 2.77-2.82
S 0.8235 0.1765 0.7500  2 Y 2.67, 2 Sr 2.92

Summary:
As for the symmetry: Cmcm (63). The total magnetic moment comes out at 0.00 Bohr magnetons per cell. The calculation puts the density of states at the Fermi level at 6.55 states/eV per cell. For the calculated total energy, the calculation gives -6.833 eV per atom.

---

Record 6
This record from the Alexandria database describes a relaxed Sr3Y4S8 crystal. The functional is PBE.

a = 8.1233 Å, b = 8.1233 Å, c = 8.0458 Å
α = 119.48°, β = 119.48°, γ = 90.18°
Last column: nearest neighbours and their distance in Å.
Sites, in units of the cell vectors:
Sr 0.0000 0.0000 0.0000  6 S 2.96-2.99
Sr 0.0000 0.5000 0.0000  6 S 2.87-2.89
Sr 0.5000 0.0000 0.0000  6 S 2.87-2.89
Y 0.0000 0.5000 0.5000  6 S 2.87-2.89
Y 0.5000 0.0000 0.5000  6 S 2.87-2.89
Y 0.5000 0.5000 0.0000  6 S 2.75-2.80
Y 0.5000 0.5000 0.5000  6 S 2.74-2.80
S 0.2570 0.7430 0.0000  3 Y 2.80-2.89, 3 Sr 2.87-2.96
S 0.2589 0.7411 0.5000  3 Y 2.77-2.87, 2 Sr 2.89
S 0.2633 0.2633 0.5144  4 Y 2.80-2.88, 1 Sr 2.97
S 0.2727 0.2727 0.0255  2 Y 2.74-2.75, 3 Sr 2.88-2.99
S 0.7273 0.7273 0.9745  2 Y 2.74-2.75, 3 Sr 2.88-2.99
S 0.7367 0.7367 0.4856  4 Y 2.80-2.88, 1 Sr 2.97
S 0.7411 0.2589 0.5000  3 Y 2.77-2.87, 2 Sr 2.89
S 0.7430 0.2570 0.0000  3 Y 2.80-2.89, 3 Sr 2.87-2.96

Summary:
As for the symmetry: C2/m (12). The total magnetic moment comes out at 0.00 Bohr magnetons per cell. The calculation puts the density of states at the Fermi level at 4.14 states/eV per cell. For the calculated total energy, the calculation gives -6.310 eV per atom.

---

Record 7
This record from the Alexandria database describes a relaxed Sr3Y3ZnS8 crystal. The functional is PBE.

a = 8.2354 Å, b = 8.2354 Å, c = 8.2354 Å
α = 57.89°, β = 57.89°, γ = 57.89°
Last column: nearest neighbours and their distance in Å.
Sites, in units of the cell vectors:
Sr 0.0000 0.5000 0.5000  6 S 2.95-2.98
Sr 0.5000 0.0000 0.5000  6 S 2.95-2.98
Sr 0.5000 0.5000 0.0000  6 S 2.95-2.98
Y 0.0000 0.0000 0.5000  6 S 2.77-2.78
Y 0.0000 0.5000 0.0000  6 S 2.77-2.78
Y 0.5000 0.0000 0.0000  6 S 2.77-2.78
Zn 0.5000 0.5000 0.5000  6 S 2.67
S 0.2432 0.2432 0.2432  3 Y 2.78, 3 Sr 2.95
S 0.2497 0.7330 0.7330  1 Zn 2.67, 2 Y 2.77, 2 Sr 2.98
S 0.2670 0.2670 0.7503  1 Zn 2.67, 2 Y 2.77, 2 Sr 2.98
S 0.2670 0.7503 0.2670  1 Zn 2.67, 2 Y 2.77, 2 Sr 2.98
S 0.7330 0.2497 0.7330  1 Zn 2.67, 2 Y 2.77, 2 Sr 2.98
S 0.7330 0.7330 0.2497  1 Zn 2.67, 2 Y 2.77, 2 Sr 2.98
S 0.7503 0.2670 0.2670  1 Zn 2.67, 2 Y 2.77, 2 Sr 2.98
S 0.7568 0.7568 0.7568  3 Y 2.78, 3 Sr 2.95

Summary:
As for the symmetry: R-3m (166). The total magnetic moment comes out at 0.00 Bohr magnetons per cell. The calculation puts the density of states at the Fermi level at 3.69 states/eV per cell. For the calculated total energy, the calculation gives -5.766 eV per atom.

---

Record 8
This record from the Alexandria database describes a relaxed SrZnS2 crystal. The functional is PBE.

a = 6.8291 Å, b = 3.9380 Å, c = 14.4245 Å
α = 90.00°, β = 90.00°, γ = 90.00°
Last column: nearest neighbours and their distance in Å.
Sites, in units of the cell vectors:
Sr 0.0669 0.2500 0.1626  6 S 2.96-3.13
Sr 0.4331 0.7500 0.6626  6 S 2.96-3.13
Sr 0.5669 0.2500 0.3374  6 S 2.96-3.13
Sr 0.9331 0.7500 0.8374  6 S 2.96-3.13
Zn 0.1206 0.7500 0.4361  4 S 2.26-2.46
Zn 0.3794 0.2500 0.9361  4 S 2.26-2.46
Zn 0.6206 0.7500 0.0639  4 S 2.26-2.46
Zn 0.8794 0.2500 0.5639  4 S 2.26-2.46
S 0.2239 0.2500 0.5264  3 Zn 2.41-2.46
S 0.2428 0.2500 0.7932  1 Zn 2.26
S 0.2572 0.7500 0.2932  1 Zn 2.26
S 0.2761 0.7500 0.0264  3 Zn 2.41-2.46
S 0.7239 0.2500 0.9736  3 Zn 2.41-2.46
S 0.7428 0.2500 0.7068  1 Zn 2.26
S 0.7572 0.7500 0.2068  1 Zn 2.26
S 0.7761 0.7500 0.4736  3 Zn 2.41-2.46

Summary:
As for the symmetry: Pnma (62). The total magnetic moment comes out at 0.00 Bohr magnetons per cell. The calculation puts the density of states at the Fermi level at 0.00 states/eV per cell. For the calculated total energy, the calculation gives -4.209 eV per atom.

---

Record 9
This record from the Alexandria database describes a relaxed SrZnS2 crystal. The functional is PBE.

a = 6.8696 Å, b = 6.8696 Å, c = 8.1164 Å
α = 90.00°, β = 90.00°, γ = 90.00°
Last column: nearest neighbours and their distance in Å.
Sites, in units of the cell vectors:
Sr 0.0000 0.0000 0.0000  4 S 2.95
Sr 0.0000 0.5000 0.2500  4 S 2.95
Sr 0.5000 0.0000 0.7500  4 S 2.95
Sr 0.5000 0.5000 0.5000  4 S 2.95
Zn 0.0000 0.0000 0.5000  4 S 2.36
Zn 0.0000 0.5000 0.7500  4 S 2.36
Zn 0.5000 0.0000 0.2500  4 S 2.36
Zn 0.5000 0.5000 0.0000  4 S 2.36
S 0.1839 0.2500 0.6250  2 Zn 2.36
S 0.2500 0.6839 0.8750  2 Zn 2.36
S 0.2500 0.8161 0.3750  2 Zn 2.36
S 0.3161 0.2500 0.1250  2 Zn 2.36
S 0.6839 0.7500 0.1250  2 Zn 2.36
S 0.7500 0.1839 0.3750  2 Zn 2.36
S 0.7500 0.3161 0.8750  2 Zn 2.36
S 0.8161 0.7500 0.6250  2 Zn 2.36

Summary:
As for the symmetry: I-42d (122). The total magnetic moment comes out at 0.00 Bohr magnetons per cell. The calculation puts the density of states at the Fermi level at 0.00 states/eV per cell. For the calculated total energy, the calculation gives -4.140 eV per atom.

---

Record 10
This record from the Alexandria database describes a relaxed Sr2ZnS crystal. The functional is PBE.

a = 7.6579 Å, b = 7.6579 Å, c = 7.6579 Å
α = 90.00°, β = 90.00°, γ = 90.00°
Last column: nearest neighbours and their distance in Å.
Sites, in units of the cell vectors:
Sr 0.2500 0.2500 0.2500  4 S 3.32, 4 Zn 3.32
Sr 0.2500 0.2500 0.7500  4 S 3.32, 4 Zn 3.32
Sr 0.2500 0.7500 0.2500  4 S 3.32, 4 Zn 3.32
Sr 0.2500 0.7500 0.7500  4 S 3.32, 4 Zn 3.32
Sr 0.7500 0.2500 0.2500  4 S 3.32, 4 Zn 3.32
Sr 0.7500 0.2500 0.7500  4 S 3.32, 4 Zn 3.32
Sr 0.7500 0.7500 0.2500  4 S 3.32, 4 Zn 3.32
Sr 0.7500 0.7500 0.7500  4 Zn 3.32, 4 S 3.32
Zn 0.0000 0.0000 0.0000  8 Sr 3.32
Zn 0.0000 0.5000 0.5000  8 Sr 3.32
Zn 0.5000 0.0000 0.5000  8 Sr 3.32
Zn 0.5000 0.5000 0.0000  8 Sr 3.32
S 0.0000 0.0000 0.5000  8 Sr 3.32
S 0.0000 0.5000 0.0000  8 Sr 3.32
S 0.5000 0.0000 0.0000  8 Sr 3.32
S 0.5000 0.5000 0.5000  8 Sr 3.32

Summary:
As for the symmetry: Fm-3m (225). The total magnetic moment comes out at 0.00 Bohr magnetons per cell. The calculation puts the density of states at the Fermi level at 20.08 states/eV per cell. For the calculated total energy, the calculation gives -2.854 eV per atom.

---

Record 11
This record from the Alexandria database describes a relaxed SrZnS2 crystal. The functional is PBE.

a = 4.6137 Å, b = 4.6137 Å, c = 21.3689 Å
α = 90.00°, β = 90.00°, γ = 120.00°
Last column: nearest neighbours and their distance in Å.
Sites, in units of the cell vectors:
Sr 0.0000 0.0000 0.0000  6 S 3.02
Sr 0.3333 0.6667 0.6667  6 S 3.02
Sr 0.6667 0.3333 0.3333  6 S 3.02
Zn 0.0000 0.0000 0.5000  2 S 2.13
Zn 0.3333 0.6667 0.1667  2 S 2.13
Zn 0.6667 0.3333 0.8333  2 S 2.13
S 0.0000 0.0000 0.4003  1 Zn 2.13
S 0.0000 0.0000 0.5997  1 Zn 2.13
S 0.3333 0.6667 0.0670  1 Zn 2.13
S 0.3333 0.6667 0.2663  1 Zn 2.13
S 0.6667 0.3333 0.7337  1 Zn 2.13
S 0.6667 0.3333 0.9330  1 Zn 2.13

Summary:
As for the symmetry: R-3m (166). The total magnetic moment comes out at 0.00 Bohr magnetons per cell. The calculation puts the density of states at the Fermi level at 0.00 states/eV per cell. For the calculated total energy, the calculation gives -4.079 eV per atom.

---

Record 12
This record from the Alexandria database describes a relaxed Sr3ZnS crystal. The functional is PBE.

a = 5.7633 Å, b = 5.7633 Å, c = 5.7633 Å
α = 90.00°, β = 90.00°, γ = 90.00°
Last column: nearest neighbours and their distance in Å.
Sites, in units of the cell vectors:
Sr 0.0000 0.0000 0.5000  2 S 2.88
Sr 0.0000 0.5000 0.0000  2 S 2.88
Sr 0.5000 0.0000 0.0000  2 S 2.88
Zn 0.5000 0.5000 0.5000  12 Sr 4.08
S 0.0000 0.0000 0.0000  6 Sr 2.88

Summary:
As for the symmetry: Pm-3m (221). The total magnetic moment comes out at 0.00 Bohr magnetons per cell. The calculation puts the density of states at the Fermi level at 4.33 states/eV per cell. For the calculated total energy, the calculation gives -2.775 eV per atom. Its offset from the most stable computed form is 0 meV/atom.